No. 1
Here is an optimized crystal structure of Zn2NiAs from Alexandria via LeMat-Bulk. Energies are from GGA-PBE.

Calculated values
DFT total energy	-3.24	eV per atom
crystal system	tetragonal
total magnetization	0.0	μB/f.u.
space group	P4/mmm

Cell: 3.8648 3.8648 3.8550 Å, 90.00 90.00 90.00°
Element x y z (fractional)
1 Zn 0.0000 0.5000 0.0000
2 Zn 0.5000 0.0000 0.0000
3 Ni 0.0000 0.0000 0.5000
4 As 0.5000 0.5000 0.5000

No. 2
Here is an optimized crystal structure of Ba2Li5P3 from Alexandria via LeMat-Bulk. Energies are from GGA-PBE.

Calculated values
DFT total energy	-3.74	eV per atom
crystal system	orthorhombic
total magnetization	0.0	μB/f.u.
space group	Cmc2_1

Cell: 13.7641 13.7641 7.6975 Å, 90.00 90.00 161.94°
Element x y z (fractional)
1 Ba 0.0389 0.9611 0.5000
2 Ba 0.3356 0.6644 0.5997
3 Ba 0.6644 0.3356 0.0997
4 Ba 0.9611 0.0389 0.0000
5 Li 0.0716 0.9284 0.0750
6 Li 0.2138 0.7862 0.7733
7 Li 0.2284 0.7716 0.4208
8 Li 0.3471 0.6529 0.1630
9 Li 0.4405 0.5595 0.3582
10 Li 0.5595 0.4405 0.8582
11 Li 0.6529 0.3471 0.6630
12 Li 0.7716 0.2284 0.9208
13 Li 0.7862 0.2138 0.2733
14 Li 0.9284 0.0716 0.5750
15 P 0.1180 0.8820 0.8036
16 P 0.2561 0.7439 0.0970
17 P 0.4588 0.5412 0.6914
18 P 0.5412 0.4588 0.1914
19 P 0.7439 0.2561 0.5970
20 P 0.8820 0.1180 0.3036

No. 3
Here is an optimized crystal structure of CrPt2Rh8 from Alexandria via LeMat-Bulk. Energies are from GGA-PBE.

Calculated values
DFT total energy	-7.39	eV per atom
crystal system	monoclinic
total magnetization	0.3	μB/f.u.
space group	C2/m

Cell: 7.2050 7.2050 6.0825 Å, 104.59 104.59 30.93°
Element x y z (fractional)
1 Cr 0.0000 0.0000 0.0000
2 Pt 0.2753 0.2753 0.3633
3 Pt 0.7247 0.7247 0.6367
4 Rh 0.0879 0.0879 0.4442
5 Rh 0.1782 0.1782 0.9109
6 Rh 0.3690 0.3690 0.8272
7 Rh 0.4573 0.4573 0.2660
8 Rh 0.5427 0.5427 0.7340
9 Rh 0.6310 0.6310 0.1728
10 Rh 0.8218 0.8218 0.0891
11 Rh 0.9121 0.9121 0.5558

No. 4
Here is an optimized crystal structure of KNa22Hg6 from Alexandria via LeMat-Bulk. Energies are from GGA-PBE.

Calculated values
DFT total energy	-1.21	eV per atom
crystal system	cubic
total magnetization	0.0	μB/f.u.
space group	Fm-3m

Cell: 11.1942 11.1942 11.1942 Å, 60.00 60.00 60.00°
Element x y z (fractional)
1 K 0.0000 0.0000 0.0000
2 Na 0.0000 0.0000 0.3510
3 Na 0.0000 0.0000 0.6490
4 Na 0.0000 0.3510 0.0000
5 Na 0.0000 0.3510 0.6490
6 Na 0.0000 0.6490 0.0000
7 Na 0.0000 0.6490 0.3510
8 Na 0.1516 0.6161 0.6161
9 Na 0.2500 0.2500 0.2500
10 Na 0.3510 0.0000 0.0000
11 Na 0.3510 0.0000 0.6490
12 Na 0.3510 0.6490 0.0000
13 Na 0.3839 0.3839 0.3839
14 Na 0.3839 0.3839 0.8484
15 Na 0.3839 0.8484 0.3839
16 Na 0.6161 0.1516 0.6161
17 Na 0.6161 0.6161 0.1516
18 Na 0.6161 0.6161 0.6161
19 Na 0.6490 0.0000 0.0000
20 Na 0.6490 0.0000 0.3510
21 Na 0.6490 0.3510 0.0000
22 Na 0.7500 0.7500 0.7500
23 Na 0.8484 0.3839 0.3839
24 Hg 0.2636 0.2636 0.7364
25 Hg 0.2636 0.7364 0.2636
26 Hg 0.2636 0.7364 0.7364
27 Hg 0.7364 0.2636 0.2636
28 Hg 0.7364 0.2636 0.7364
29 Hg 0.7364 0.7364 0.2636

No. 5
Here is an optimized crystal structure of Ce2AsRh from Alexandria via LeMat-Bulk. Energies are from GGA-PBE.

Calculated values
DFT total energy	-6.91	eV per atom
crystal system	trigonal
total magnetization	1.1	μB/f.u.
space group	R-3m
ΔE to the lowest computed polymorph	0	meV per atom

Cell: 4.0311 4.0311 21.2251 Å, 90.00 90.00 120.00°
Element x y z (fractional)
1 Ce 0.0000 0.0000 0.2457
2 Ce 0.0000 0.0000 0.7543
3 Ce 0.3333 0.6667 0.4209
4 Ce 0.3333 0.6667 0.9124
5 Ce 0.6667 0.3333 0.0876
6 Ce 0.6667 0.3333 0.5791
7 As 0.0000 0.0000 0.0000
8 As 0.3333 0.6667 0.6667
9 As 0.6667 0.3333 0.3333
10 Rh 0.0000 0.0000 0.5000
11 Rh 0.3333 0.6667 0.1667
12 Rh 0.6667 0.3333 0.8333

No. 6
Here is an optimized crystal structure of Ac2TbTh from Alexandria via LeMat-Bulk. Energies are from GGA-PBE.

Calculated values
DFT total energy	-4.78	eV per atom
crystal system	trigonal
total magnetization	0.0	μB/f.u.
space group	R-3m
ΔE to the lowest computed polymorph	165	meV per atom

Cell: 3.6830 3.6830 39.5387 Å, 90.00 90.00 120.00°
Element x y z (fractional)
1 Ac 0.0000 0.0000 0.0893
2 Ac 0.0000 0.0000 0.9107
3 Ac 0.3333 0.6667 0.5774
4 Ac 0.3333 0.6667 0.7559
5 Ac 0.6667 0.3333 0.2441
6 Ac 0.6667 0.3333 0.4226
7 Tb 0.0000 0.0000 0.5000
8 Tb 0.3333 0.6667 0.1667
9 Tb 0.6667 0.3333 0.8333
10 Th 0.0000 0.0000 0.0000
11 Th 0.3333 0.6667 0.6667
12 Th 0.6667 0.3333 0.3333

No. 7
Here is an optimized crystal structure of Sr2HPdRh from Alexandria via LeMat-Bulk. Energies are from GGA-PBE.

Calculated values
DFT total energy	-4.19	eV per atom
crystal system	tetragonal
total magnetization	0.0	μB/f.u.
space group	P4/mmm
ΔE to the lowest computed polymorph	94	meV per atom

Cell: 5.3231 5.3231 3.6187 Å, 90.00 90.00 90.00°
Element x y z (fractional)
1 Sr 0.0000 0.5000 0.0000
2 Sr 0.5000 0.0000 0.0000
3 H 0.0000 0.0000 0.0000
4 Pd 0.0000 0.0000 0.5000
5 Rh 0.5000 0.5000 0.5000

No. 8
Here is an optimized crystal structure of Hg2Sb3 from Alexandria via LeMat-Bulk. Energies are from GGA-PBE.

Calculated values
DFT total energy	-2.53	eV per atom
ΔE_f (raw)	63	meV/atom
crystal system	monoclinic
total magnetization	0.0	μB/f.u.
space group	C2/m
ΔE to the lowest computed polymorph	0	meV per atom

Cell: 9.3462 9.3462 4.8076 Å, 91.41 91.41 122.67°
Element x y z (fractional)
1 Hg 0.0000 0.5000 0.5000
2 Hg 0.1210 0.8790 0.0000
3 Hg 0.5000 0.0000 0.5000
4 Hg 0.8790 0.1210 0.0000
5 Sb 0.1761 0.4416 0.0972
6 Sb 0.3366 0.3366 0.4994
7 Sb 0.4416 0.1761 0.0972
8 Sb 0.5584 0.8239 0.9028
9 Sb 0.6634 0.6634 0.5006
10 Sb 0.8239 0.5584 0.9028

No. 9
Here is an optimized crystal structure of Y3ScSi from Alexandria via LeMat-Bulk. Energies are from GGA-PBE.

Calculated values
DFT total energy	-5.36	eV per atom
ΔE_f (raw)	874	meV/atom
crystal system	cubic
total magnetization	0.0	μB/f.u.
space group	Pm-3m
ΔE to the lowest computed polymorph	836	meV per atom

Cell: 5.3264 5.3264 5.3264 Å, 90.00 90.00 90.00°
Element x y z (fractional)
1 Y 0.0000 0.0000 0.5000
2 Y 0.0000 0.5000 0.0000
3 Y 0.5000 0.0000 0.0000
4 Sc 0.0000 0.0000 0.0000
5 Si 0.5000 0.5000 0.5000

No. 10
Here is an optimized crystal structure of TlCoPb from Alexandria via LeMat-Bulk. Energies are from GGA-PBE.

Calculated values
DFT total energy	-3.95	eV per atom
crystal system	tetragonal
total magnetization	0.8	μB/f.u.
space group	I4mm
ΔE to the lowest computed polymorph	43	meV per atom

Cell: 3.2690 3.2690 12.6723 Å, 90.00 90.00 90.00°
Element x y z (fractional)
1 Tl 0.0000 0.0000 0.0000
2 Tl 0.5000 0.5000 0.5000
3 Co 0.0000 0.0000 0.6301
4 Co 0.5000 0.5000 0.1301
5 Pb 0.0000 0.0000 0.2634
6 Pb 0.5000 0.5000 0.7634

No. 11
Here is an optimized crystal structure of Ta5Al2Si2 from Alexandria via LeMat-Bulk. Energies are from GGA-PBE.

Calculated values
DFT total energy	-8.91	eV per atom
ΔE_f (raw)	-288	meV/atom
crystal system	orthorhombic
total magnetization	0.0	μB/f.u.
space group	Cmce

Cell: 7.4665 7.4665 6.6736 Å, 90.00 90.00 54.63°
Element x y z (fractional)
1 Ta 0.0000 0.0000 0.0000
2 Ta 0.0446 0.7029 0.6723
3 Ta 0.2029 0.5446 0.1723
4 Ta 0.2971 0.9554 0.6723
5 Ta 0.4554 0.7971 0.1723
6 Ta 0.5000 0.5000 0.5000
7 Ta 0.5446 0.2029 0.8277
8 Ta 0.7029 0.0446 0.3277
9 Ta 0.7971 0.4554 0.8277
10 Ta 0.9554 0.2971 0.3277
11 Al 0.2149 0.2149 0.0000
12 Al 0.2851 0.2851 0.5000
13 Al 0.7149 0.7149 0.5000
14 Al 0.7851 0.7851 0.0000
15 Si 0.1242 0.8758 0.3756
16 Si 0.3758 0.6242 0.8756
17 Si 0.6242 0.3758 0.1244
18 Si 0.8758 0.1242 0.6244

No. 12
Here is an optimized crystal structure of TbPr10Y4 from Alexandria via LeMat-Bulk. Energies are from GGA-PBE.

Calculated values
DFT total energy	-4.52	eV per atom
crystal system	tetragonal
total magnetization	0.0	μB/f.u.
space group	I4/m

Cell: 9.6791 9.6791 9.6791 Å, 99.60 99.60 131.80°
Element x y z (fractional)
1 Tb 0.0000 0.0000 0.0000
2 Pr 0.0495 0.3486 0.8996
3 Pr 0.1500 0.0495 0.7009
4 Pr 0.2500 0.7500 0.5000
5 Pr 0.3486 0.4491 0.2991
6 Pr 0.4491 0.1500 0.1004
7 Pr 0.5509 0.8500 0.8996
8 Pr 0.6514 0.5509 0.7009
9 Pr 0.7500 0.2500 0.5000
10 Pr 0.8500 0.9505 0.2991
11 Pr 0.9505 0.6514 0.1004
12 Y 0.2004 0.3996 0.6000
13 Y 0.3996 0.7996 0.1992
14 Y 0.6004 0.2004 0.8008
15 Y 0.7996 0.6004 0.4000

No. 13
Here is an optimized crystal structure of VCr4Mo5 from Alexandria via LeMat-Bulk. Energies are from GGA-PBE.

Calculated values
DFT total energy	-10.17	eV per atom
crystal system	tetragonal
total magnetization	0.0	μB/f.u.
space group	P4/mmm

Cell: 3.0294 3.0294 15.1885 Å, 90.00 90.00 90.00°
Element x y z (fractional)
1 V 0.0000 0.0000 0.0000
2 Cr 0.0000 0.0000 0.2016
3 Cr 0.0000 0.0000 0.4004
4 Cr 0.0000 0.0000 0.5996
5 Cr 0.0000 0.0000 0.7984
6 Mo 0.5000 0.5000 0.1027
7 Mo 0.5000 0.5000 0.3015
8 Mo 0.5000 0.5000 0.5000
9 Mo 0.5000 0.5000 0.6985
10 Mo 0.5000 0.5000 0.8973

No. 14
Here is an optimized crystal structure of LaTa2Zn from Alexandria via LeMat-Bulk. Energies are from GGA-PBE.

Calculated values
DFT total energy	-6.96	eV per atom
crystal system	tetragonal
total magnetization	0.0	μB/f.u.
space group	P4/mmm

Cell: 4.2786 4.2786 4.5464 Å, 90.00 90.00 90.00°
Element x y z (fractional)
1 La 0.0000 0.0000 0.0000
2 Ta 0.0000 0.5000 0.5000
3 Ta 0.5000 0.0000 0.5000
4 Zn 0.5000 0.5000 0.0000

No. 15
Here is an optimized crystal structure of YC3 from Alexandria via LeMat-Bulk. Energies are from GGA-PBE.

Calculated values
DFT total energy	-7.97	eV per atom
crystal system	monoclinic
total magnetization	0.0	μB/f.u.
space group	C2/m
ΔE to the lowest computed polymorph	306	meV per atom

Cell: 7.2060 2.8418 4.2927 Å, 90.00 105.48 90.00°
Element x y z (fractional)
1 Y 0.0000 0.0000 0.0000
2 Y 0.5000 0.5000 0.0000
3 C 0.0000 0.5000 0.5000
4 C 0.1929 0.5000 0.4958
5 C 0.3071 0.0000 0.5042
6 C 0.5000 0.0000 0.5000
7 C 0.6929 0.0000 0.4958
8 C 0.8071 0.5000 0.5042

No. 16
Here is an optimized crystal structure of La7Sn2Pb2 from Alexandria via LeMat-Bulk. Energies are from GGA-PBE.

Calculated values
DFT total energy	-4.89	eV per atom
crystal system	orthorhombic
total magnetization	0.0	μB/f.u.
space group	Cmmm

Cell: 7.5314 7.5314 7.3756 Å, 90.00 90.00 105.10°
Element x y z (fractional)
1 La 0.0000 0.0000 0.0000
2 La 0.0000 0.5000 0.2940
3 La 0.0000 0.5000 0.7060
4 La 0.5000 0.0000 0.2940
5 La 0.5000 0.0000 0.7060
6 La 0.5000 0.5000 0.2565
7 La 0.5000 0.5000 0.7435
8 Sn 0.2730 0.7270 0.0000
9 Sn 0.7270 0.2730 0.0000
10 Pb 0.1753 0.1753 0.5000
11 Pb 0.8247 0.8247 0.5000

No. 17
Here is an optimized crystal structure of BaNb2F11 from Alexandria via LeMat-Bulk. Energies are from GGA-PBE.

Calculated values
DFT total energy	-6.24	eV per atom
ΔE_f (raw)	-3196	meV/atom
crystal system	orthorhombic
total magnetization	1.0	μB/f.u.
space group	Ibam

Cell: 8.8837 8.8837 8.8837 Å, 127.73 108.98 93.60°
Element x y z (fractional)
1 Ba 0.2500 0.2500 0.0000
2 Ba 0.7500 0.7500 0.0000
3 Nb 0.1786 0.6279 0.8066
4 Nb 0.3214 0.1279 0.4493
5 Nb 0.6786 0.8721 0.5507
6 Nb 0.8214 0.3721 0.1934
7 F 0.0000 0.5000 0.5000
8 F 0.0347 0.3602 0.1701
9 F 0.0757 0.9750 0.2947
10 F 0.1803 0.4750 0.8993
11 F 0.1901 0.8646 0.8299
12 F 0.2161 0.3634 0.5795
13 F 0.2839 0.8634 0.1473
14 F 0.3099 0.1398 0.6745
15 F 0.3197 0.2189 0.2947
16 F 0.4243 0.7189 0.8993
17 F 0.4653 0.6354 0.3255
18 F 0.5000 0.0000 0.5000
19 F 0.5347 0.3646 0.6745
20 F 0.5757 0.2811 0.1007
21 F 0.6803 0.7811 0.7053
22 F 0.6901 0.8602 0.3255
23 F 0.7161 0.1366 0.8527
24 F 0.7839 0.6366 0.4205
25 F 0.8099 0.1354 0.1701
26 F 0.8197 0.5250 0.1007
27 F 0.9243 0.0250 0.7053
28 F 0.9653 0.6398 0.8299

No. 18
Here is an optimized crystal structure of RbPb2Cl from Alexandria via LeMat-Bulk. Energies are from GGA-PBE.

Calculated values
DFT total energy	-3.16	eV per atom
ΔE_f (raw)	-599	meV/atom
crystal system	tetragonal
total magnetization	0.0	μB/f.u.
space group	I-42d
ΔE to the lowest computed polymorph	0	meV per atom

Cell: 4.4826 4.4826 33.1041 Å, 90.00 90.00 90.00°
Element x y z (fractional)
1 Rb 0.0000 0.0000 0.0000
2 Rb 0.0000 0.5000 0.2500
3 Rb 0.5000 0.0000 0.7500
4 Rb 0.5000 0.5000 0.5000
5 Pb 0.2497 0.2500 0.1250
6 Pb 0.2503 0.2500 0.6250
7 Pb 0.2500 0.7497 0.3750
8 Pb 0.2500 0.7503 0.8750
9 Pb 0.7500 0.2503 0.3750
10 Pb 0.7500 0.2497 0.8750
11 Pb 0.7503 0.7500 0.1250
12 Pb 0.7497 0.7500 0.6250
13 Cl 0.0000 0.0000 0.5000
14 Cl 0.0000 0.5000 0.7500
15 Cl 0.5000 0.0000 0.2500
16 Cl 0.5000 0.5000 0.0000

No. 19
Here is an optimized crystal structure of NdSmTl from Alexandria via LeMat-Bulk. Energies are from GGA-PBE.

Calculated values
DFT total energy	-3.81	eV per atom
crystal system	orthorhombic
total magnetization	0.4	μB/f.u.
space group	Cmmm
ΔE to the lowest computed polymorph	409	meV per atom

Cell: 11.0489 11.2301 3.8038 Å, 90.00 90.00 90.00°
Element x y z (fractional)
1 Nd 0.0000 0.2234 0.0000
2 Nd 0.0000 0.7766 0.0000
3 Nd 0.5000 0.2766 0.0000
4 Nd 0.5000 0.7234 0.0000
5 Sm 0.2227 0.5000 0.5000
6 Sm 0.2773 0.0000 0.5000
7 Sm 0.7227 0.0000 0.5000
8 Sm 0.7773 0.5000 0.5000
9 Tl 0.0000 0.0000 0.5000
10 Tl 0.0000 0.5000 0.0000
11 Tl 0.5000 0.0000 0.0000
12 Tl 0.5000 0.5000 0.5000

No. 20
Here is an optimized crystal structure of BaH6Os from Alexandria via LeMat-Bulk. Energies are from GGA-PBE.

Calculated values
DFT total energy	-4.14	eV per atom
crystal system	trigonal
total magnetization	0.7	μB/f.u.
space group	R-3m
ΔE to the lowest computed polymorph	0	meV per atom

Cell: 4.6025 4.6025 4.6025 Å, 72.43 72.43 72.43°
Element x y z (fractional)
1 Ba 0.0000 0.0000 0.0000
2 H 0.0993 0.6096 0.6096
3 H 0.3904 0.3904 0.9007
4 H 0.3904 0.9007 0.3904
5 H 0.6096 0.0993 0.6096
6 H 0.6096 0.6096 0.0993
7 H 0.9007 0.3904 0.3904
8 Os 0.5000 0.5000 0.5000

No. 21
Here is an optimized crystal structure of BeSb2Ir from Alexandria via LeMat-Bulk. Energies are from GGA-PBE.

Calculated values
DFT total energy	-4.56	eV per atom
ΔE_f (raw)	643	meV/atom
crystal system	cubic
total magnetization	0.0	μB/f.u.
space group	F-43m

Cell: 6.6902 6.6902 6.6902 Å, 90.00 90.00 90.00°
Element x y z (fractional)
1 Be 0.0000 0.0000 0.0000
2 Be 0.0000 0.5000 0.5000
3 Be 0.5000 0.0000 0.5000
4 Be 0.5000 0.5000 0.0000
5 Sb 0.0000 0.0000 0.5000
6 Sb 0.0000 0.5000 0.0000
7 Sb 0.2500 0.2500 0.7500
8 Sb 0.2500 0.7500 0.2500
9 Sb 0.5000 0.0000 0.0000
10 Sb 0.5000 0.5000 0.5000
11 Sb 0.7500 0.2500 0.2500
12 Sb 0.7500 0.7500 0.7500
13 Ir 0.2500 0.2500 0.2500
14 Ir 0.2500 0.7500 0.7500
15 Ir 0.7500 0.2500 0.7500
16 Ir 0.7500 0.7500 0.2500

No. 22
Here is an optimized crystal structure of Pr6HgOs2 from Alexandria via LeMat-Bulk. Energies are from GGA-PBE.

Calculated values
DFT total energy	-5.87	eV per atom
crystal system	orthorhombic
total magnetization	0.0	μB/f.u.
space group	Immm

Cell: 8.8248 8.8248 8.8248 Å, 112.55 110.47 105.47°
Element x y z (fractional)
1 Pr 0.0341 0.2388 0.7952
2 Pr 0.1837 0.2780 0.4617
3 Pr 0.1837 0.7220 0.9057
4 Pr 0.3282 0.0157 0.6876
5 Pr 0.3282 0.6406 0.3124
6 Pr 0.4436 0.2388 0.2048
7 Pr 0.5564 0.7612 0.7952
8 Pr 0.6718 0.3594 0.6876
9 Pr 0.6718 0.9843 0.3124
10 Pr 0.8163 0.2780 0.0943
11 Pr 0.8163 0.7220 0.5383
12 Pr 0.9659 0.7612 0.2048
13 Hg 0.0000 0.0000 0.0000
14 Hg 0.5000 0.5000 0.0000
15 Os 0.1153 0.6153 0.5000
16 Os 0.3331 0.0000 0.3331
17 Os 0.6669 0.0000 0.6669
18 Os 0.8847 0.3847 0.5000